w) ! GGA-PBE RbZr3Pd, optimized geometry; values from VASP
&SYSTEM
  ibrav = 0, nat = 5, ntyp = 3
/
ATOMIC_SPECIES
Rb 85.47 Rb.upf
Zr 91.22 Zr.upf
Pd 106.42 Pd.upf
CELL_PARAMETERS angstrom
-1.820 4.903 -0.667
-4.211 -1.162 2.953
2.599 1.552 4.317
ATOMIC_POSITIONS crystal
Rb 0.500 0.500 0.500
Zr 0.000 0.500 0.000
Zr 0.000 0.000 0.500
Zr 0.500 0.000 0.000
Pd 0.000 0.000 0.000
! * DOS(E_F): 1.30 states/eV/atom
! * crystal system: cubic
! * symmetry: No. 221


x) ! GGA-PBE RbZr3Pd, optimized geometry; values from VASP
&SYSTEM
  ibrav = 0, nat = 5, ntyp = 3
/
ATOMIC_SPECIES
Rb 85.47 Rb.upf
Zr 91.22 Zr.upf
Pd 106.42 Pd.upf
CELL_PARAMETERS angstrom
4.980 0.000 0.000
0.000 4.980 0.000
0.000 0.000 4.980
ATOMIC_POSITIONS crystal
Rb 0.000 0.000 0.000
Zr 0.000 0.500 0.000
Zr 0.000 0.000 0.500
Zr 0.500 0.000 0.000
Pd 0.500 0.500 0.500
! * DOS(E_F): 1.79 states/eV/atom
! * crystal system: cubic
! * symmetry: No. 221


The calculated energies rank the structures as follows, beginning with the most stable: w), x).